#1
MnCoPSe: relaxed, PBE-GGA.

```
MnCoPSe
1.0
3.707 -1.607 0.000
3.707 1.607 0.000
-0.918 0.000 4.838
Mn Co P Se
1 1 1 1
Direct
0.000 0.000 0.000
0.785 0.785 0.389
0.299 0.299 0.093
0.527 0.527 0.627
```

Calculated density (g/cm³): 6.45
D(E_F) (states/eV per cell): 3.03

#2
MnCoPSe: relaxed, PBE-GGA.

```
MnCoPSe
1.0
1.479 0.854 7.162
-1.479 0.854 7.162
0.000 -1.708 7.162
Mn Co P Se
1 1 1 1
Direct
0.000 0.000 0.000
0.520 0.520 0.520
0.256 0.256 0.256
0.409 0.409 0.409
```

Calculated density (g/cm³): 6.85
D(E_F) (states/eV per cell): 4.22

#3
MnCoPSe: relaxed, PBE-GGA.

```
MnCoPSe
1.0
3.286 0.000 0.000
0.000 1.538 5.732
0.000 -1.538 5.732
Mn Co P Se
1 1 1 1
Direct
0.000 0.000 0.000
0.500 0.804 0.804
0.500 0.434 0.434
0.000 0.668 0.668
```

Calculated density (g/cm³): 6.42
D(E_F) (states/eV per cell): 2.70

#4
MnCoPSe: relaxed, PBE-GGA.

```
MnCoPSe
1.0
3.070 0.000 0.000
0.000 1.594 5.822
0.000 -1.594 5.822
Mn Co P Se
1 1 1 1
Direct
0.000 0.000 0.000
0.500 0.187 0.187
0.000 0.645 0.645
0.500 0.392 0.392
```

Calculated density (g/cm³): 6.52
D(E_F) (states/eV per cell): 2.98

#4 is the most stable structure; the next one sits 68 meV per atom above it.

#1
MnCoPSe: relaxed, PBE-GGA.

```
MnCoPSe
1.0
3.254 0.000 0.000
0.000 3.254 0.000
0.000 0.000 5.492
Mn Co P Se
1 1 1 1
Direct
0.000 0.000 0.000
0.500 0.500 0.707
0.500 0.500 0.107
0.000 0.000 0.558
```

Calculated density (g/cm³): 6.39
D(E_F) (states/eV per cell): 3.18

#2
MnCoPSe: relaxed, PBE-GGA.

```
MnCoPSe
1.0
3.618 0.000 0.000
-1.809 3.133 0.000
0.000 0.000 5.428
Mn Co P Se
1 1 1 1
Direct
0.000 0.000 0.000
0.667 0.333 0.681
0.333 0.667 0.757
0.667 0.333 0.258
```

Calculated density (g/cm³): 6.04
D(E_F) (states/eV per cell): 3.05

#2 is the most stable structure; the next one sits 186 meV per atom above it.